An optimized crystal structure of LiLaAg2. Source: the Alexandria database, functional GGA-PBE. Values from VASP.

Computed properties:
Its crystal system is orthorhombic. As for the calculated formation energy: -226 meV/atom.

Quantum ESPRESSO input file:
```
&SYSTEM
  ibrav = 0, nat = 8, ntyp = 3
/
ATOMIC_SPECIES
Li 6.94 Li.upf
La 138.91 La.upf
Ag 107.87 Ag.upf
CELL_PARAMETERS angstrom
4.735 0.000 0.000
0.000 7.053 0.000
0.000 0.000 5.628
ATOMIC_POSITIONS angstrom
Li 1.184 1.763 1.081
Li 3.551 5.290 4.547
La 1.184 5.290 1.871
La 3.551 1.763 3.757
Ag 1.184 3.776 4.710
Ag 1.184 6.804 4.710
Ag 3.551 0.249 0.918
Ag 3.551 3.277 0.918
```